No. 1
A relaxed SrPt5 crystal. Source: Alexandria, functional PBE.

The structure in POSCAR format:
```
SrPt5
1.0
0.000 3.815 3.815
3.815 0.000 3.815
3.815 3.815 0.000
Sr Pt
1 5
direct
0.000 0.000 0.000
0.376 0.376 0.376
0.376 0.376 0.873
0.376 0.873 0.376
0.750 0.750 0.750
0.873 0.376 0.376
```

## Properties
- ΔE_f (meV per atom) = -309.5
- crystal system = cubic
- space-group type = F-43m, No. 216
- polymorph energy (0 for the lowest one) (meV/atom) = 235.8



No. 2
A relaxed CaBiH2 crystal. Source: Alexandria, functional PBE.

The structure in POSCAR format:
```
CaBiH2
1.0
-2.580 2.580 5.583
2.580 -2.580 5.583
2.580 2.580 -5.583
Ca Bi H
2 2 4
direct
0.000 0.000 0.000
0.750 0.250 0.500
0.250 0.750 0.500
0.500 0.500 0.000
0.064 0.625 0.939
0.375 0.314 0.439
0.686 0.125 0.061
0.875 0.936 0.561
```

## Properties
- crystal system = tetragonal
- space-group type = I-42d, No. 122
- polymorph energy (0 for the lowest one) (meV/atom) = 0.0



No. 3
A relaxed Rb3TlCu2Br9 crystal. Source: Alexandria, functional PBE.

The structure in POSCAR format:
```
Rb3TlCu2Br9
1.0
7.610 0.000 0.000
-3.805 6.590 0.000
0.000 0.000 9.394
Rb Tl Cu Br
3 1 2 9
direct
0.000 0.000 0.000
0.333 0.667 0.678
0.667 0.333 0.322
0.000 0.000 0.500
0.333 0.667 0.152
0.667 0.333 0.848
0.000 0.500 0.000
0.175 0.351 0.319
0.175 0.825 0.319
0.351 0.175 0.681
0.500 0.000 0.000
0.500 0.500 0.000
0.649 0.825 0.319
0.825 0.175 0.681
0.825 0.649 0.681
```

## Properties
- energy relative to the elements, uncorrected (eV per atom) = -0.923
- crystal system = trigonal
- space-group type = P-3m1, No. 164